! PBE-GGA Y2Sc2Tl, relaxed; values from VASP
&SYSTEM
  ibrav = 0, nat = 10, ntyp = 3
/
ATOMIC_SPECIES
Y 88.91 Y.upf
Sc 44.96 Sc.upf
Tl 204.38 Tl.upf
CELL_PARAMETERS angstrom
8.194 0.000 0.000
0.000 8.194 0.000
0.000 0.000 4.270
ATOMIC_POSITIONS crystal
Y 0.150 0.350 0.000
Y 0.350 0.850 0.000
Y 0.650 0.150 0.000
Y 0.850 0.650 0.000
Sc 0.145 0.645 0.500
Sc 0.355 0.145 0.500
Sc 0.645 0.855 0.500
Sc 0.855 0.355 0.500
Tl 0.000 0.000 0.000
Tl 0.500 0.500 0.000
! Total DFT energy (no corrections) ... -5.4603 eV/atom
! Energy above the most stable polymorph in this dataset ... 0.85 eV/f.u.

=====

! PBE-GGA Ac3Pm12Pr, relaxed; values from VASP
&SYSTEM
  ibrav = 0, nat = 16, ntyp = 3
/
ATOMIC_SPECIES
Ac 227.00 Ac.upf
Pm 145.00 Pm.upf
Pr 140.91 Pr.upf
CELL_PARAMETERS angstrom
5.254 0.000 0.000
0.000 5.254 0.000
0.000 0.000 20.982
ATOMIC_POSITIONS crystal
Ac 0.000 0.000 0.000
Ac 0.000 0.000 0.252
Ac 0.000 0.000 0.748
Pm 0.000 0.500 0.126
Pm 0.000 0.500 0.378
Pm 0.000 0.500 0.622
Pm 0.000 0.500 0.874
Pm 0.500 0.000 0.126
Pm 0.500 0.000 0.378
Pm 0.500 0.000 0.622
Pm 0.500 0.000 0.874
Pm 0.500 0.500 0.000
Pm 0.500 0.500 0.252
Pm 0.500 0.500 0.500
Pm 0.500 0.500 0.748
Pr 0.000 0.000 0.500
! Total DFT energy (no corrections) ... -4.6065 eV/atom

=====

! PBE-GGA ScBe2Co, relaxed; values from VASP
&SYSTEM
  ibrav = 0, nat = 4, ntyp = 3
/
ATOMIC_SPECIES
Sc 44.96 Sc.upf
Be 9.01 Be.upf
Co 58.93 Co.upf
CELL_PARAMETERS angstrom
-2.038 2.038 2.897
2.038 -2.038 2.897
2.038 2.038 -2.897
ATOMIC_POSITIONS crystal
Sc 0.000 0.000 0.000
Be 0.250 0.750 0.500
Be 0.500 0.500 0.000
Co 0.750 0.250 0.500
! Total DFT energy (no corrections) ... -5.2286 eV/atom
! Energy above the most stable polymorph in this dataset ... 0.78 eV/f.u.

=====

! PBE-GGA Ac2Dy2In3, relaxed; values from VASP
&SYSTEM
  ibrav = 0, nat = 7, ntyp = 3
/
ATOMIC_SPECIES
Ac 227.00 Ac.upf
Dy 162.50 Dy.upf
In 114.82 In.upf
CELL_PARAMETERS angstrom
2.362 -13.051 0.000
2.362 13.051 0.000
0.000 0.000 3.601
ATOMIC_POSITIONS crystal
Ac 0.076 0.924 0.000
Ac 0.924 0.076 0.000
Dy 0.207 0.793 0.000
Dy 0.793 0.207 0.000
In 0.338 0.662 0.500
In 0.500 0.500 0.500
In 0.662 0.338 0.500
! Total DFT energy (no corrections) ... -3.9381 eV/atom

=====

! PBE-GGA TbNd8Ho2, relaxed; values from VASP
&SYSTEM
  ibrav = 0, nat = 11, ntyp = 3
/
ATOMIC_SPECIES
Tb 158.93 Tb.upf
Nd 144.24 Nd.upf
Ho 164.93 Ho.upf
CELL_PARAMETERS angstrom
5.208 -6.806 0.000
5.208 6.806 0.000
0.000 0.000 5.504
ATOMIC_POSITIONS crystal
Tb 0.000 0.000 0.000
Nd 0.031 0.300 0.500
Nd 0.253 0.747 0.000
Nd 0.300 0.031 0.500
Nd 0.334 0.334 0.000
Nd 0.666 0.666 0.000
Nd 0.700 0.969 0.500
Nd 0.747 0.253 0.000
Nd 0.969 0.700 0.500
Ho 0.381 0.619 0.500
Ho 0.619 0.381 0.500
! Total DFT energy (no corrections) ... -4.5627 eV/atom
! Energy above the most stable polymorph in this dataset ... 0.00 eV/f.u.

=====

! PBE-GGA Mg3InRh4, relaxed; values from VASP
&SYSTEM
  ibrav = 0, nat = 8, ntyp = 3
/
ATOMIC_SPECIES
Mg 24.30 Mg.upf
In 114.82 In.upf
Rh 102.91 Rh.upf
CELL_PARAMETERS angstrom
2.229 1.287 7.269
-2.229 1.287 7.269
0.000 -2.574 7.269
ATOMIC_POSITIONS crystal
Mg 0.000 0.000 0.000
Mg 0.251 0.251 0.251
Mg 0.749 0.749 0.749
In 0.500 0.500 0.500
Rh 0.124 0.124 0.124
Rh 0.375 0.375 0.375
Rh 0.625 0.625 0.625
Rh 0.876 0.876 0.876
! Total DFT energy (no corrections) ... -5.1219 eV/atom

=====

no.,energy of formation (eV per atom)
1,0.131
2,0.026
3,-0.006
4,-0.276
5,0.158
6,-0.506